Below is crystalline LiNiPO4 at its relaxed geometry, with properties calculated at the PBE with a Hubbard U level.

Cell: 4.478 5.165 7.372 Å, 90.30 103.20 102.17°
Atoms (fractional coordinates):
Li: 0.740 0.710 0.988
Li: 0.260 0.290 0.012
Ni: 0.969 0.759 0.593
Ni: 0.031 0.241 0.407
P: 0.354 0.816 0.263
P: 0.646 0.184 0.737
O: 0.164 0.624 0.382
O: 0.836 0.376 0.618
O: 0.305 0.090 0.617
O: 0.695 0.910 0.383
O: 0.649 0.330 0.919
O: 0.351 0.670 0.081
O: 0.202 0.060 0.215
O: 0.798 0.940 0.785

Energy relative to the lowest polymorph listed for this composition   0.0449 eV per atom